P:
VASP calculation (meta-GGA SCAN) on a crystal of Tc2Pt relaxed with PBEsol.

Unit cell a=5.014 b=5.014 c=5.014 alpha=60.00 beta=60.00 gamma=60.00
Positions (direct):
Tc: 0.625 0.625 0.125
Tc: 0.625 0.625 0.625
Tc: 0.125 0.625 0.625
Tc: 0.625 0.125 0.625
Pt: 0.000 0.000 0.000
Pt: 0.250 0.250 0.250

Values from the calculation:
size of the total moment	0.00	μB per formula unit
volume	89.1	Å³/cell

***

Q:
VASP calculation (meta-GGA SCAN) on a crystal of Tc2Pt relaxed with PBEsol.

Unit cell a=2.665 b=3.907 c=4.725 alpha=114.42 beta=106.38 gamma=90.00
Positions (direct):
Tc: 0.328 0.328 0.655
Tc: 0.672 0.672 0.345
Pt: 0.000 0.000 0.000

Values from the calculation:
size of the total moment	0.00	μB per formula unit
volume	42.6	Å³/cell

***

R:
VASP calculation (meta-GGA SCAN) on a crystal of Tc2Pt relaxed with PBEsol.

Unit cell a=2.719 b=4.360 c=7.274 alpha=90.00 beta=100.77 gamma=90.00
Positions (direct):
Tc: 0.779 0.250 0.558
Tc: 0.221 0.750 0.442
Tc: 0.444 0.250 0.888
Tc: 0.556 0.750 0.112
Pt: 0.111 0.250 0.221
Pt: 0.889 0.750 0.779

Values from the calculation:
size of the total moment	0.00	μB per formula unit
volume	84.7	Å³/cell

***

The relative energies come out as P 51.9; Q 8.2; R 0.0, with values in kJ/mol of atoms.

***

P:
VASP calculation (meta-GGA SCAN) on a crystal of TcPt2 relaxed with PBEsol.

Unit cell a=3.878 b=3.878 c=11.957 alpha=99.33 beta=99.33 gamma=90.00
Positions (direct):
Pt: 0.416 0.416 0.831
Pt: 0.834 0.334 0.669
Pt: 0.666 0.166 0.331
Pt: 0.584 0.584 0.169
Pt: 0.502 0.002 0.003
Pt: 0.748 0.748 0.497
Pt: 0.998 0.498 0.997
Pt: 0.252 0.252 0.503
Tc: 0.339 0.839 0.677
Tc: 0.161 0.661 0.323
Tc: 0.911 0.911 0.823
Tc: 0.089 0.089 0.177

Values from the calculation:
size of the total moment	0.00	μB per formula unit
volume	175.0	Å³/cell

***

Q:
VASP calculation (meta-GGA SCAN) on a crystal of TcPt2 relaxed with PBEsol.

Unit cell a=2.719 b=2.719 c=6.202 alpha=102.66 beta=102.66 gamma=90.00
Positions (direct):
Pt: 0.659 0.659 0.318
Pt: 0.341 0.341 0.682
Tc: 0.000 0.000 0.000

Values from the calculation:
size of the total moment	0.00	μB per formula unit
volume	43.6	Å³/cell

***

R:
VASP calculation (meta-GGA SCAN) on a crystal of TcPt2 relaxed with PBEsol.

Unit cell a=2.719 b=3.902 c=4.729 alpha=114.37 beta=106.71 gamma=90.00
Positions (direct):
Pt: 0.663 0.663 0.326
Pt: 0.337 0.337 0.674
Tc: 0.000 0.000 0.000

Values from the calculation:
size of the total moment	0.00	μB per formula unit
volume	43.4	Å³/cell

***

S:
VASP calculation (meta-GGA SCAN) on a crystal of TcPt2 relaxed with PBEsol.

Unit cell a=2.737 b=2.737 c=6.732 alpha=90.00 beta=90.00 gamma=120.00
Positions (direct):
Pt: 0.333 0.667 0.677
Pt: 0.667 0.333 0.323
Tc: 0.000 0.000 0.000

Values from the calculation:
size of the total moment	0.00	μB per formula unit
volume	43.7	Å³/cell

***

The relative energies come out as P 9.8; Q 0.0; R 2.7; S 11.1, with values in kJ/mol of atoms.

***

P:
VASP calculation (meta-GGA SCAN) on a crystal of TcPt2 relaxed with PBEsol.

Unit cell a=4.475 b=4.742 c=4.742 alpha=60.03 beta=90.00 gamma=90.00
Positions (direct):
Tc: 0.750 0.165 0.835
Tc: 0.250 0.835 0.165
Pt: 0.750 0.838 0.488
Pt: 0.750 0.512 0.162
Pt: 0.250 0.488 0.838
Pt: 0.250 0.162 0.512

Values from the calculation:
size of the total moment	0.00	μB per formula unit
volume	87.2	Å³/cell

***

Q:
VASP calculation (meta-GGA SCAN) on a crystal of TcPt2 relaxed with PBEsol.

Unit cell a=3.822 b=5.512 c=8.306 alpha=90.00 beta=90.00 gamma=90.00
Positions (direct):
Pt: 0.250 0.626 0.916
Pt: 0.750 0.375 0.746
Pt: 0.750 0.875 0.754
Pt: 0.750 0.874 0.416
Pt: 0.250 0.625 0.254
Pt: 0.750 0.374 0.084
Pt: 0.250 0.125 0.246
Pt: 0.250 0.126 0.584
Tc: 0.750 0.389 0.430
Tc: 0.750 0.889 0.070
Tc: 0.250 0.611 0.570
Tc: 0.250 0.111 0.930

Values from the calculation:
size of the total moment	0.00	μB per formula unit
volume	175.0	Å³/cell

***

The relative energies come out as P 1.2; Q 0.0, with values in kJ/mol of atoms.

***

P:
VASP calculation (meta-GGA SCAN) on a crystal of TcPt relaxed with PBEsol.

Unit cell a=2.743 b=2.743 c=8.857 alpha=90.00 beta=90.00 gamma=120.00
Positions (direct):
Tc: 0.667 0.333 0.615
Tc: 0.333 0.667 0.385
Pt: 0.333 0.667 0.865
Pt: 0.667 0.333 0.135

Values from the calculation:
size of the total moment	0.00	μB per formula unit
volume	57.7	Å³/cell

***

Q:
VASP calculation (meta-GGA SCAN) on a crystal of TcPt relaxed with PBEsol.

Unit cell a=3.932 b=3.932 c=6.329 alpha=90.00 beta=90.00 gamma=120.00
Positions (direct):
Pt: 0.333 0.667 0.505
Pt: 0.667 0.333 0.005
Tc: 0.333 0.667 0.124
Tc: 0.667 0.333 0.624

Values from the calculation:
size of the total moment	0.00	μB per formula unit
volume	84.8	Å³/cell

***

R:
VASP calculation (meta-GGA SCAN) on a crystal of TcPt relaxed with PBEsol.

Unit cell a=3.885 b=3.885 c=4.687 alpha=114.48 beta=114.48 gamma=90.00
Positions (direct):
Pt: 0.250 0.750 0.500
Pt: 0.000 0.000 0.000
Tc: 0.750 0.250 0.500
Tc: 0.500 0.500 0.000

Values from the calculation:
size of the total moment	0.00	μB per formula unit
volume	57.3	Å³/cell

***

S:
VASP calculation (meta-GGA SCAN) on a crystal of TcPt relaxed with PBEsol.

Unit cell a=2.715 b=4.387 c=4.802 alpha=90.00 beta=90.00 gamma=90.00
Positions (direct):
Tc: 0.500 0.750 0.155
Tc: 0.500 0.250 0.845
Pt: 0.000 0.250 0.337
Pt: 0.000 0.750 0.663

Values from the calculation:
size of the total moment	0.00	μB per formula unit
volume	57.2	Å³/cell

***

The relative energies come out as P 3.0; Q 102.1; R 3.7; S 0.0, with values in kJ/mol of atoms.

***

P:
VASP calculation (meta-GGA SCAN) on a crystal of TcPt relaxed with PBEsol.

Unit cell a=2.728 b=5.173 c=6.525 alpha=104.06 beta=90.00 gamma=105.29
Positions (direct):
Pt: 0.332 0.664 0.663
Pt: 0.006 0.012 0.005
Pt: 0.386 0.771 0.278
Tc: 0.718 0.435 0.939
Tc: 0.664 0.329 0.336
Tc: 0.062 0.123 0.613

Values from the calculation:
size of the total moment	0.00	μB per formula unit
volume	86.0	Å³/cell

***

Q:
VASP calculation (meta-GGA SCAN) on a crystal of TcPt relaxed with PBEsol.

Unit cell a=4.251 b=4.251 c=4.643 alpha=62.75 beta=62.75 gamma=60.00
Positions (direct):
Pt: 0.887 0.887 0.338
Pt: 0.113 0.113 0.662
Tc: 0.335 0.335 0.994
Tc: 0.665 0.665 0.006

Values from the calculation:
size of the total moment	0.00	μB per formula unit
volume	61.7	Å³/cell

***

The relative energies come out as P 0.0; Q 26.1, with values in kJ/mol of atoms.

***

P:
VASP calculation (meta-GGA SCAN) on a crystal of YTc2Pt relaxed with PBEsol.

Unit cell a=2.749 b=5.101 c=5.451 alpha=115.39 beta=100.34 gamma=98.93
Positions (direct):
Pt: 0.000 0.500 0.000
Tc: 0.500 0.500 0.500
Tc: 0.000 0.000 0.500
Y: 0.500 0.000 0.000

Values from the calculation:
size of the total moment	0.00	μB per formula unit
volume	65.6	Å³/cell

***

Q:
VASP calculation (meta-GGA SCAN) on a crystal of YTc2Pt relaxed with PBEsol.

Unit cell a=2.899 b=4.386 c=5.400 alpha=90.00 beta=100.80 gamma=90.00
Positions (direct):
Tc: 0.104 0.000 0.048
Tc: 0.781 0.500 0.178
Y: 0.521 0.000 0.534
Pt: 0.094 0.500 0.740

Values from the calculation:
size of the total moment	0.00	μB per formula unit
volume	67.4	Å³/cell

***

R:
VASP calculation (meta-GGA SCAN) on a crystal of YTc2Pt relaxed with PBEsol.

Unit cell a=3.001 b=3.001 c=7.531 alpha=90.00 beta=90.00 gamma=90.00
Positions (direct):
Tc: 0.500 0.500 0.205
Tc: 0.000 0.000 0.024
Y: 0.000 0.000 0.496
Pt: 0.500 0.500 0.775

Values from the calculation:
size of the total moment	0.00	μB per formula unit
volume	67.8	Å³/cell

***

S:
VASP calculation (meta-GGA SCAN) on a crystal of YTc2Pt relaxed with PBEsol.

Unit cell a=4.207 b=4.769 c=4.207 alpha=63.83 beta=90.00 gamma=116.17
Site moments in Bohr magnetons follow the coordinates.
Positions (direct):
Y: 0.500 0.000 0.500  0.01
Pt: 0.750 0.500 0.750  0.12
Tc: 0.250 0.500 0.250  -0.25
Tc: 0.000 0.000 0.000  0.74

Values from the calculation:
size of the total moment	0.65	μB per formula unit
volume	66.0	Å³/cell

***

The relative energies come out as P 30.5; Q 6.7; R 0.0; S 16.1, with values in kJ/mol of atoms.

***

P:
VASP calculation (meta-GGA SCAN) on a crystal of ZrTc2Pt relaxed with PBEsol.

Unit cell a=2.792 b=4.441 c=5.187 alpha=90.00 beta=100.30 gamma=90.00
Positions (direct):
Zr: 0.533 0.000 0.528
Pt: 0.093 0.500 0.733
Tc: 0.102 0.000 0.048
Tc: 0.772 0.500 0.191

Values from the calculation:
size of the total moment	0.00	μB per formula unit
volume	63.3	Å³/cell

***

Q:
VASP calculation (meta-GGA SCAN) on a crystal of ZrTc2Pt relaxed with PBEsol.

Unit cell a=2.827 b=4.840 c=4.875 alpha=99.03 beta=106.86 gamma=90.00
Positions (direct):
Pt: 0.000 0.500 0.000
Tc: 0.261 0.269 0.523
Tc: 0.739 0.731 0.477
Zr: 0.500 0.000 0.000

Values from the calculation:
size of the total moment	0.00	μB per formula unit
volume	63.0	Å³/cell

***

The relative energies come out as P 0.0; Q 14.8, with values in kJ/mol of atoms.

***

P:
VASP calculation (meta-GGA SCAN) on a crystal of ZrTcPt2 relaxed with PBEsol.

Unit cell a=3.917 b=3.917 c=4.937 alpha=113.37 beta=113.37 gamma=90.00
Positions (direct):
Tc: 0.500 0.500 0.000
Zr: 0.000 0.000 0.000
Pt: 0.750 0.250 0.500
Pt: 0.250 0.750 0.500

Values from the calculation:
size of the total moment	0.00	μB per formula unit
volume	62.7	Å³/cell

***

Q:
VASP calculation (meta-GGA SCAN) on a crystal of ZrTcPt2 relaxed with PBEsol.

Unit cell a=4.533 b=4.533 c=4.533 alpha=60.00 beta=60.00 gamma=60.00
Site moments in Bohr magnetons follow the coordinates.
Positions (direct):
Tc: 0.000 0.000 0.000  2.11
Zr: 0.500 0.500 0.500  0.05
Pt: 0.750 0.750 0.750  0.20
Pt: 0.250 0.250 0.250  0.20

Values from the calculation:
size of the total moment	2.65	μB per formula unit
volume	65.9	Å³/cell

***

The relative energies come out as P 0.0; Q 35.7, with values in kJ/mol of atoms.